ZnTe2Au | the Alexandria database | PBE-GGA | optimized geometry; calculated volume = 112 Å³ per cell; ρ = 7.675 g cm⁻³; raw formation energy = -152 meV/atom; uncorrected energy = -2.860 eV/atom; size of the total moment = 0.00 μB per cell; SG = Cm, No. 8
1.0
3.816 -2.128 0.000
3.816 2.128 0.000
-3.108 0.000 6.897
Zn Te Au
1 2 1
direct
0.000 0.000 0.000
0.078 0.078 0.417
0.614 0.614 0.850
0.676 0.676 0.252

***

V12CuGe6 | the Alexandria database | PBE-GGA | optimized geometry; calculated volume = 266 Å³ per cell; ρ = 6.946 g cm⁻³; ΔE_f = -112 meV per atom; uncorrected energy = -7.545 eV/atom; size of the total moment = 0.00 μB per cell; SG = R-3, No. 148
1.0
4.538 2.620 3.722
-4.538 2.620 3.722
0.000 -5.240 3.722
V Cu Ge
12 1 6
direct
0.020 0.311 0.930
0.070 0.980 0.689
0.116 0.361 0.434
0.311 0.930 0.020
0.361 0.434 0.116
0.434 0.116 0.361
0.566 0.884 0.639
0.639 0.566 0.884
0.689 0.070 0.980
0.884 0.639 0.566
0.930 0.020 0.311
0.980 0.689 0.070
0.500 0.500 0.500
0.222 0.759 0.372
0.241 0.628 0.778
0.372 0.222 0.759
0.628 0.778 0.241
0.759 0.372 0.222
0.778 0.241 0.628

***

K2TlW | the Alexandria database | PBE-GGA | optimized geometry; calculated volume = 108 Å³ per cell; ρ = 7.200 g cm⁻³; ΔE_f = 1289 meV per atom; uncorrected energy = -3.090 eV/atom; size of the total moment = 1.20 μB per cell; SG = P4/mmm, No. 123
1.0
4.265 0.000 0.000
0.000 4.265 0.000
0.000 0.000 5.913
K Tl W
2 1 1
direct
0.000 0.500 0.000
0.500 0.000 0.000
0.000 0.000 0.500
0.500 0.500 0.500

***

NpTlI6 | the Alexandria database | PBE-GGA | optimized geometry; calculated volume = 387 Å³ per cell; ρ = 5.156 g cm⁻³; raw formation energy = -635 meV/atom; uncorrected energy = -3.711 eV/atom; size of the total moment = 2.00 μB per cell; SG = R-3, No. 148
1.0
3.952 2.282 7.160
-3.952 2.282 7.160
0.000 -4.564 7.160
Np Tl I
1 1 6
direct
0.000 0.000 0.000
0.500 0.500 0.500
0.043 0.399 0.793
0.207 0.957 0.601
0.399 0.793 0.043
0.601 0.207 0.957
0.793 0.043 0.399
0.957 0.601 0.207

***

PrSm6Tm12 | the Alexandria database | PBE-GGA | optimized geometry; calculated volume = 603 Å³ per cell; ρ = 8.450 g cm⁻³; ΔE_f = 117 meV per atom; uncorrected energy = -4.449 eV/atom; size of the total moment = 0.00 μB per cell; SG = R-3m, No. 166
1.0
5.497 3.173 5.765
-5.497 3.173 5.765
0.000 -6.347 5.765
Pr Sm Tm
1 6 12
direct
0.000 0.000 0.000
0.165 0.769 0.769
0.231 0.231 0.835
0.231 0.835 0.231
0.769 0.165 0.769
0.769 0.769 0.165
0.835 0.231 0.231
0.138 0.138 0.480
0.138 0.480 0.138
0.196 0.515 0.515
0.480 0.138 0.138
0.484 0.485 0.804
0.484 0.804 0.484
0.516 0.196 0.516
0.516 0.516 0.196
0.520 0.862 0.862
0.804 0.484 0.484
0.862 0.520 0.862
0.862 0.862 0.520

***

Al3H7O | the Alexandria database | PBE-GGA | optimized geometry; calculated volume = 128 Å³ per cell; ρ = 1.347 g cm⁻³; uncorrected energy = -4.006 eV/atom; size of the total moment = 0.00 μB per cell; SG = P3m1, No. 156
1.0
5.426 0.000 0.000
-2.713 4.699 0.000
0.000 0.000 5.027
Al H O
3 7 1
direct
0.009 0.505 0.000
0.495 0.505 0.000
0.495 0.991 0.000
0.181 0.361 0.196
0.181 0.819 0.196
0.371 0.186 0.837
0.639 0.819 0.196
0.667 0.333 0.207
0.814 0.186 0.837
0.814 0.629 0.837
0.333 0.667 0.797

***

Pa2Tl2FeS6 | the Alexandria database | PBE-GGA | optimized geometry; calculated volume = 295 Å³ per cell; ρ = 6.303 g cm⁻³; raw formation energy = -1015 meV/atom; uncorrected energy = -6.192 eV/atom; size of the total moment = 1.97 μB per cell; SG = C2/m, No. 12
1.0
3.308 -5.748 0.000
3.308 5.748 0.000
-2.207 0.000 7.752
Pa Tl Fe S
2 2 1 6
direct
0.165 0.835 0.000
0.835 0.165 0.000
0.333 0.667 0.500
0.667 0.333 0.500
0.500 0.500 0.000
0.109 0.437 0.807
0.249 0.249 0.189
0.437 0.109 0.807
0.563 0.891 0.193
0.751 0.751 0.811
0.891 0.563 0.193

***

KLaTe2 | the Alexandria database | PBE-GGA | optimized geometry; calculated volume = 129 Å³ per cell; ρ = 5.595 g cm⁻³; raw formation energy = -622 meV/atom; uncorrected energy = -3.699 eV/atom; size of the total moment = 0.00 μB per cell; SG = F-43m, No. 216
1.0
0.000 4.006 4.006
4.006 0.000 4.006
4.006 4.006 0.000
K La Te
1 1 2
direct
0.000 0.000 0.000
0.750 0.750 0.750
0.250 0.250 0.250
0.500 0.500 0.500

***

KPd2F | the Alexandria database | PBE-GGA | optimized geometry; calculated volume = 74 Å³ per cell; ρ = 6.113 g cm⁻³; raw formation energy = 121 meV/atom; uncorrected energy = -3.217 eV/atom; size of the total moment = 0.00 μB per cell; SG = Fm-3m, No. 225
1.0
0.000 3.326 3.326
3.326 0.000 3.326
3.326 3.326 0.000
K Pd F
1 2 1
direct
0.000 0.000 0.000
0.250 0.250 0.250
0.750 0.750 0.750
0.500 0.500 0.500

***

Er3Zn4Si2 | the Alexandria database | PBE-GGA | optimized geometry; calculated volume = 173 Å³ per cell; ρ = 7.853 g cm⁻³; raw formation energy = -536 meV/atom; uncorrected energy = -3.828 eV/atom; size of the total moment = 0.00 μB per cell; SG = C2/m, No. 12
1.0
5.250 -2.105 0.000
5.250 2.105 0.000
-2.713 0.000 7.840
Er Zn Si
3 4 2
direct
0.000 0.000 0.000
0.324 0.324 0.348
0.676 0.676 0.652
0.024 0.024 0.361
0.258 0.258 0.924
0.742 0.742 0.076
0.976 0.976 0.639
0.391 0.391 0.725
0.609 0.609 0.275

***

Pm6AsP2Cl3 | the Alexandria database | PBE-GGA | optimized geometry; calculated volume = 307 Å³ per cell; ρ = 6.031 g cm⁻³; raw formation energy = -1581 meV/atom; uncorrected energy = -5.707 eV/atom; size of the total moment = 0.00 μB per cell; SG = C2/m, No. 12
1.0
9.107 -2.072 0.000
9.107 2.072 0.000
-2.014 0.000 8.121
Pm As P Cl
6 1 2 3
direct
0.011 0.011 0.240
0.325 0.325 0.437
0.338 0.338 0.891
0.662 0.662 0.109
0.675 0.675 0.563
0.989 0.989 0.760
0.500 0.500 0.000
0.168 0.168 0.335
0.832 0.832 0.665
0.166 0.166 0.833
0.500 0.500 0.500
0.834 0.834 0.167

***

Tm3Th3Tc2 | the Alexandria database | PBE-GGA | optimized geometry; calculated volume = 457 Å³ per cell; ρ = 10.177 g cm⁻³; ΔE_f = 25 meV per atom; uncorrected energy = -7.026 eV/atom; size of the total moment = 0.00 μB per cell; SG = Cmcm, No. 63
1.0
1.791 -6.840 0.000
1.791 6.840 0.000
0.000 0.000 18.636
Tm Th Tc
6 6 4
direct
0.068 0.932 0.582
0.068 0.932 0.918
0.301 0.699 0.750
0.699 0.301 0.250
0.932 0.068 0.082
0.932 0.068 0.418
0.324 0.676 0.562
0.324 0.676 0.938
0.442 0.558 0.250
0.558 0.442 0.750
0.676 0.324 0.062
0.676 0.324 0.438
0.297 0.703 0.152
0.297 0.703 0.348
0.703 0.297 0.652
0.703 0.297 0.848